{"formula": "CsSn2I2", "functional": "PBE-GGA", "state": "optimized geometry", "lattice": [[6.5015, 0.0000, 0.0000], [0.0000, 6.5015, 0.0000], [0.0000, 0.0000, 10.3469]], "species": ["Cs", "Cs", "Sn", "Sn", "Sn", "Sn", "I", "I", "I", "I"], "frac_coords": [[0.0000, 0.0000, 0.0000], [0.5000, 0.5000, 0.5000], [0.0000, 0.0000, 0.3558], [0.0000, 0.0000, 0.6442], [0.5000, 0.5000, 0.1442], [0.5000, 0.5000, 0.8558], [0.0000, 0.5000, 0.2500], [0.0000, 0.5000, 0.7500], [0.5000, 0.0000, 0.2500], [0.5000, 0.0000, 0.7500]], "raw_formation_energy_ev_per_atom": -0.3467, "sg": "I4/mmm (139)", "total_magnetization_mub_per_cell": 0.0}

{"formula": "ZrCd2Se", "functional": "PBE-GGA", "state": "optimized geometry", "lattice": [[3.4959, 0.0000, 0.0000], [0.0000, 5.0751, 0.0000], [0.0000, 0.0000, 10.5135]], "species": ["Zr", "Zr", "Cd", "Cd", "Cd", "Cd", "Se", "Se"], "frac_coords": [[0.0000, 0.0000, 0.0000], [0.5000, 0.5000, 0.5000], [0.0000, 0.0000, 0.5348], [0.0000, 0.5000, 0.7538], [0.5000, 0.0000, 0.2538], [0.5000, 0.5000, 0.0348], [0.0000, 0.5000, 0.3098], [0.5000, 0.0000, 0.8098]], "raw_formation_energy_ev_per_atom": -0.2501, "sg": "Imm2 (44)", "total_magnetization_mub_per_cell": 0.0}

{"formula": "CrIn2Sb", "functional": "PBE-GGA", "state": "optimized geometry", "lattice": [[3.4312, 0.0000, 0.0000], [0.0000, 4.2641, 0.0000], [0.0000, 0.0000, 13.5172]], "species": ["Cr", "Cr", "In", "In", "In", "In", "Sb", "Sb"], "frac_coords": [[0.0000, 0.0000, 0.0000], [0.5000, 0.5000, 0.5000], [0.0000, 0.5000, 0.3126], [0.0000, 0.5000, 0.6874], [0.5000, 0.0000, 0.1874], [0.5000, 0.0000, 0.8126], [0.0000, 0.0000, 0.5000], [0.5000, 0.5000, 0.0000]], "raw_formation_energy_ev_per_atom": 0.2318, "sg": "Immm (71)", "total_magnetization_mub_per_cell": 6.8}

{"formula": "HoTm3Mg2", "functional": "PBE-GGA", "state": "optimized geometry", "lattice": [[3.5879, 0.0000, 0.0000], [0.0000, 3.5879, 0.0000], [0.0000, 0.0000, 13.0681]], "species": ["Ho", "Tm", "Tm", "Tm", "Mg", "Mg"], "frac_coords": [[0.0000, 0.0000, 0.0000], [0.5000, 0.5000, 0.1849], [0.5000, 0.5000, 0.5000], [0.5000, 0.5000, 0.8151], [0.0000, 0.0000, 0.3447], [0.0000, 0.0000, 0.6553]], "formation_enthalpy_0k_ev_per_atom": -0.03, "sg": "P4/mmm (123)", "total_magnetization_mub_per_cell": 0.0}

{"formula": "Zn3GaBi", "functional": "PBE-GGA", "state": "optimized geometry", "lattice": [[4.8675, 0.0000, 0.0000], [0.0000, 4.8675, 0.0000], [0.0000, 0.0000, 4.8675]], "species": ["Zn", "Zn", "Zn", "Ga", "Bi"], "frac_coords": [[0.0000, 0.0000, 0.5000], [0.0000, 0.5000, 0.0000], [0.5000, 0.0000, 0.0000], [0.0000, 0.0000, 0.0000], [0.5000, 0.5000, 0.5000]], "formation_enthalpy_0k_ev_per_atom": 0.36, "sg": "Pm-3m (221)", "total_magnetization_mub_per_cell": 0.0}

{"formula": "Pr2Al3Zn6", "functional": "PBE-GGA", "state": "optimized geometry", "lattice": [[5.0654, -5.3753, 0.0000], [5.0654, 5.3753, 0.0000], [0.0000, 0.0000, 4.0845]], "species": ["Pr", "Pr", "Al", "Al", "Al", "Zn", "Zn", "Zn", "Zn", "Zn", "Zn"], "frac_coords": [[0.2190, 0.7810, 0.0000], [0.7810, 0.2190, 0.0000], [0.2956, 0.2956, 0.0000], [0.5000, 0.5000, 0.5000], [0.7044, 0.7044, 0.0000], [0.1149, 0.1149, 0.5000], [0.1503, 0.4524, 0.5000], [0.4524, 0.1503, 0.5000], [0.5476, 0.8497, 0.5000], [0.8497, 0.5476, 0.5000], [0.8851, 0.8851, 0.5000]], "formation_enthalpy_0k_ev_per_atom": -0.22, "sg": "Cmmm (65)", "total_magnetization_mub_per_cell": 0.0}

{"formula": "Y3Re5", "functional": "PBE-GGA", "state": "optimized geometry", "lattice": [[9.1006, 0.0000, 0.0000], [-4.5503, 7.8813, 0.0000], [0.0000, 0.0000, 4.9001]], "species": ["Y", "Y", "Y", "Y", "Y", "Y", "Re", "Re", "Re", "Re", "Re", "Re", "Re", "Re", "Re", "Re"], "frac_coords": [[0.0000, 0.3835, 0.2500], [0.0000, 0.6165, 0.7500], [0.3835, 0.0000, 0.2500], [0.3835, 0.3835, 0.7500], [0.6165, 0.0000, 0.7500], [0.6165, 0.6165, 0.2500], [0.0000, 0.1556, 0.7500], [0.0000, 0.8444, 0.2500], [0.1556, 0.0000, 0.7500], [0.1556, 0.1556, 0.2500], [0.3333, 0.6667, 0.0000], [0.3333, 0.6667, 0.5000], [0.6667, 0.3333, 0.0000], [0.6667, 0.3333, 0.5000], [0.8444, 0.0000, 0.2500], [0.8444, 0.8444, 0.7500]], "formation_enthalpy_0k_ev_per_atom": 0.63, "sg": "P6_3/mcm (193)", "total_magnetization_mub_per_cell": 0.0}

{"formula": "LiTcBi", "functional": "PBE-GGA", "state": "optimized geometry", "lattice": [[8.3717, 0.0000, 0.0000], [0.0000, 3.2846, 0.0000], [-1.3883, 0.0000, 8.9754]], "species": ["Li", "Li", "Li", "Li", "Tc", "Tc", "Tc", "Tc", "Bi", "Bi", "Bi", "Bi"], "frac_coords": [[0.0000, 0.0000, 0.0000], [0.0506, 0.0000, 0.3394], [0.5000, 0.5000, 0.0000], [0.5506, 0.5000, 0.3394], [0.0351, 0.5000, 0.7522], [0.2549, 0.0000, 0.8382], [0.5351, 0.0000, 0.7522], [0.7549, 0.5000, 0.8382], [0.2925, 0.5000, 0.5676], [0.3050, 0.0000, 0.1553], [0.7925, 0.0000, 0.5676], [0.8050, 0.5000, 0.1553]], "formation_enthalpy_0k_ev_per_atom": 0.07, "sg": "Cm (8)", "total_magnetization_mub_per_cell": 0.0}

{"formula": "Hf4CuOs2", "functional": "PBE-GGA", "state": "optimized geometry", "lattice": [[6.4765, 0.0000, 0.0000], [0.0000, 6.4765, 0.0000], [0.0000, 0.0000, 6.3950]], "species": ["Hf", "Hf", "Hf", "Hf", "Hf", "Hf", "Hf", "Hf", "Cu", "Cu", "Os", "Os", "Os", "Os"], "frac_coords": [[0.2500, 0.2500, 0.2500], [0.2500, 0.2500, 0.7500], [0.2500, 0.7500, 0.2500], [0.2500, 0.7500, 0.7500], [0.7500, 0.2500, 0.2500], [0.7500, 0.2500, 0.7500], [0.7500, 0.7500, 0.2500], [0.7500, 0.7500, 0.7500], [0.0000, 0.0000, 0.0000], [0.5000, 0.5000, 0.5000], [0.0000, 0.5000, 0.0000], [0.0000, 0.5000, 0.5000], [0.5000, 0.0000, 0.0000], [0.5000, 0.0000, 0.5000]], "formation_enthalpy_0k_ev_per_atom": -0.33, "sg": "I4/mmm (139)", "total_magnetization_mub_per_cell": 0.0}

{"formula": "Ba3SbF", "functional": "PBE-GGA", "state": "optimized geometry", "lattice": [[5.4996, 0.0000, 0.0000], [0.0000, 5.4996, 0.0000], [0.0000, 0.0000, 5.4996]], "species": ["Ba", "Ba", "Ba", "Sb", "F"], "frac_coords": [[0.0000, 0.0000, 0.5000], [0.0000, 0.5000, 0.0000], [0.5000, 0.0000, 0.0000], [0.5000, 0.5000, 0.5000], [0.0000, 0.0000, 0.0000]], "raw_formation_energy_ev_per_atom": -1.4332, "sg": "Pm-3m (221)", "total_magnetization_mub_per_cell": 0.0}

{"formula": "Pm5HPt2", "functional": "PBE-GGA", "state": "optimized geometry", "lattice": [[2.4384, -5.9284, 0.0000], [2.4384, 5.9284, 0.0000], [0.0000, 0.0000, 14.5218]], "species": ["Pm", "Pm", "Pm", "Pm", "Pm", "Pm", "Pm", "Pm", "Pm", "Pm", "H", "H", "Pt", "Pt", "Pt", "Pt"], "frac_coords": [[0.1021, 0.8979, 0.6038], [0.1021, 0.8979, 0.8962], [0.2503, 0.7497, 0.2500], [0.3979, 0.6021, 0.6038], [0.3979, 0.6021, 0.8962], [0.6021, 0.3979, 0.1038], [0.6021, 0.3979, 0.3962], [0.7497, 0.2503, 0.7500], [0.8979, 0.1021, 0.1038], [0.8979, 0.1021, 0.3962], [0.2493, 0.7507, 0.7500], [0.7507, 0.2493, 0.2500], [0.2500, 0.7500, 0.0582], [0.2500, 0.7500, 0.4418], [0.7500, 0.2500, 0.5582], [0.7500, 0.2500, 0.9418]], "energy_ev_per_atom": -5.473, "sg": "Cmcm (63)", "total_magnetization_mub_per_cell": 0.0}

{"formula": "NdEuSbBr", "functional": "PBE-GGA", "state": "optimized geometry", "lattice": [[7.7493, 0.0000, 0.0000], [0.0000, 7.7493, 0.0000], [0.0000, 0.0000, 7.7493]], "species": ["Nd", "Nd", "Nd", "Nd", "Eu", "Eu", "Eu", "Eu", "Sb", "Sb", "Sb", "Sb", "Br", "Br", "Br", "Br"], "frac_coords": [[0.0000, 0.0000, 0.0000], [0.0000, 0.5000, 0.5000], [0.5000, 0.0000, 0.5000], [0.5000, 0.5000, 0.0000], [0.0000, 0.0000, 0.5000], [0.0000, 0.5000, 0.0000], [0.5000, 0.0000, 0.0000], [0.5000, 0.5000, 0.5000], [0.2500, 0.2500, 0.7500], [0.2500, 0.7500, 0.2500], [0.7500, 0.2500, 0.2500], [0.7500, 0.7500, 0.7500], [0.2500, 0.2500, 0.2500], [0.2500, 0.7500, 0.7500], [0.7500, 0.2500, 0.7500], [0.7500, 0.7500, 0.2500]], "raw_formation_energy_ev_per_atom": -1.1670, "sg": "F-43m (216)", "total_magnetization_mub_per_cell": 31.7}